DFT (PBE) results for CsAc2PbSe4 after structural relaxation.

Cell: 4.583 8.223 16.407 Å, 90.00 90.00 106.18°
Positions (direct):
Cs: 0.131 0.263 0.750
Cs: 0.869 0.737 0.250
Ac: 0.371 0.741 0.559
Ac: 0.629 0.259 0.059
Ac: 0.629 0.259 0.441
Ac: 0.371 0.741 0.941
Pb: 0.859 0.718 0.750
Pb: 0.141 0.282 0.250
Se: 0.264 0.527 0.097
Se: 0.736 0.473 0.597
Se: 0.736 0.473 0.903
Se: 0.264 0.527 0.403
Se: 0.000 0.000 0.500
Se: 0.000 0.000 0.000
Se: 0.462 0.924 0.750
Se: 0.538 0.076 0.250

As for the space-group type: Cmcm (63). As for the total energy: -75.77 eV/cell.